Record 1
# PmSm4Ge4

Crystalline PmSm4Ge4 at its relaxed geometry (PBE, the Alexandria database).

The structure in CIF format:
```
data_PmSm4Ge4
_chemical_formula_sum 'Pm2 Sm8 Ge8'
_symmetry_space_group_name_H-M 'P 1'
_symmetry_Int_Tables_number 1
_cell_length_a 9.2327
_cell_length_b 9.2327
_cell_length_c 5.9758
_cell_angle_alpha 90.00
_cell_angle_beta 90.00
_cell_angle_gamma 90.00
loop_
_symmetry_equiv_pos_as_xyz
'x,y,z'
loop_
_atom_site_label
_atom_site_type_symbol
_atom_site_fract_x
_atom_site_fract_y
_atom_site_fract_z
Pm1 Pm 0.2500 0.2500 0.2500
Pm2 Pm 0.7500 0.7500 0.7500
Sm1 Sm 0.0608 0.6640 0.1344
Sm2 Sm 0.1640 0.9392 0.6344
Sm3 Sm 0.3360 0.5608 0.6344
Sm4 Sm 0.4392 0.8360 0.1344
Sm5 Sm 0.5608 0.1640 0.8656
Sm6 Sm 0.6640 0.4392 0.3656
Sm7 Sm 0.8360 0.0608 0.3656
Sm8 Sm 0.9392 0.3360 0.8656
Ge1 Ge 0.0245 0.6237 0.6274
Ge2 Ge 0.1237 0.9755 0.1274
Ge3 Ge 0.3763 0.5245 0.1274
Ge4 Ge 0.4755 0.8763 0.6274
Ge5 Ge 0.5245 0.1237 0.3726
Ge6 Ge 0.6237 0.4755 0.8726
Ge7 Ge 0.8763 0.0245 0.8726
Ge8 Ge 0.9755 0.3763 0.3726
```

Summary:
Total moment (μB per cell): 0.0
Calculated formation energy (eV per atom): -0.5733
DOS(E_F) (states/eV per cell): 20.49

---

Record 2
# Pm4SmGe4

Crystalline Pm4SmGe4 at its relaxed geometry (PBE, the Alexandria database).

The structure in CIF format:
```
data_Pm4SmGe4
_chemical_formula_sum 'Pm8 Sm2 Ge8'
_symmetry_space_group_name_H-M 'P 1'
_symmetry_Int_Tables_number 1
_cell_length_a 9.1996
_cell_length_b 9.1996
_cell_length_c 6.0225
_cell_angle_alpha 90.00
_cell_angle_beta 90.00
_cell_angle_gamma 90.00
loop_
_symmetry_equiv_pos_as_xyz
'x,y,z'
loop_
_atom_site_label
_atom_site_type_symbol
_atom_site_fract_x
_atom_site_fract_y
_atom_site_fract_z
Pm1 Pm 0.0554 0.6669 0.1291
Pm2 Pm 0.1669 0.9446 0.6291
Pm3 Pm 0.3331 0.5554 0.6291
Pm4 Pm 0.4446 0.8331 0.1291
Pm5 Pm 0.5554 0.1669 0.8709
Pm6 Pm 0.6669 0.4446 0.3709
Pm7 Pm 0.8331 0.0554 0.3709
Pm8 Pm 0.9446 0.3331 0.8709
Sm1 Sm 0.2500 0.2500 0.2500
Sm2 Sm 0.7500 0.7500 0.7500
Ge1 Ge 0.0217 0.6257 0.6210
Ge2 Ge 0.1257 0.9783 0.1210
Ge3 Ge 0.3743 0.5217 0.1210
Ge4 Ge 0.4783 0.8743 0.6210
Ge5 Ge 0.5217 0.1257 0.3790
Ge6 Ge 0.6257 0.4783 0.8790
Ge7 Ge 0.8743 0.0217 0.8790
Ge8 Ge 0.9783 0.3743 0.3790
```

Summary:
Total moment (μB per cell): 0.0
Calculated formation energy (eV per atom): -0.5797
DOS(E_F) (states/eV per cell): 19.15

---

Record 3
# PmSm2Ge

Crystalline PmSm2Ge at its relaxed geometry (PBE, the Alexandria database).

The structure in CIF format:
```
data_PmSm2Ge
_chemical_formula_sum 'Pm1 Sm2 Ge1'
_symmetry_space_group_name_H-M 'P 1'
_symmetry_Int_Tables_number 1
_cell_length_a 4.7668
_cell_length_b 4.7668
_cell_length_c 4.7581
_cell_angle_alpha 90.00
_cell_angle_beta 90.00
_cell_angle_gamma 90.00
loop_
_symmetry_equiv_pos_as_xyz
'x,y,z'
loop_
_atom_site_label
_atom_site_type_symbol
_atom_site_fract_x
_atom_site_fract_y
_atom_site_fract_z
Pm1 Pm 0.0000 0.0000 0.0000
Sm1 Sm 0.0000 0.5000 0.5000
Sm2 Sm 0.5000 0.0000 0.5000
Ge1 Ge 0.5000 0.5000 0.0000
```

Summary:
Total moment (μB per cell): 0.0
Calculated formation energy (eV per atom): -0.3415
DOS(E_F) (states/eV per cell): 4.31

---

Record 4
# PmSm2Ge

Crystalline PmSm2Ge at its relaxed geometry (PBE, the Alexandria database).

The structure in CIF format:
```
data_PmSm2Ge
_chemical_formula_sum 'Pm1 Sm2 Ge1'
_symmetry_space_group_name_H-M 'P 1'
_symmetry_Int_Tables_number 1
_cell_length_a 3.9618
_cell_length_b 3.9618
_cell_length_c 7.2215
_cell_angle_alpha 90.00
_cell_angle_beta 90.00
_cell_angle_gamma 90.00
loop_
_symmetry_equiv_pos_as_xyz
'x,y,z'
loop_
_atom_site_label
_atom_site_type_symbol
_atom_site_fract_x
_atom_site_fract_y
_atom_site_fract_z
Pm1 Pm 0.0000 0.0000 0.0000
Sm1 Sm 0.5000 0.5000 0.2956
Sm2 Sm 0.5000 0.5000 0.7044
Ge1 Ge 0.0000 0.0000 0.5000
```

Summary:
Total moment (μB per cell): 0.0
Calculated formation energy (eV per atom): -0.3100
DOS(E_F) (states/eV per cell): 4.91

---

Record 5
# PmSmGe2

Crystalline PmSmGe2 at its relaxed geometry (PBE, the Alexandria database).

The structure in CIF format:
```
data_PmSmGe2
_chemical_formula_sum 'Pm1 Sm1 Ge2'
_symmetry_space_group_name_H-M 'P 1'
_symmetry_Int_Tables_number 1
_cell_length_a 7.3072
_cell_length_b 7.3072
_cell_length_c 7.3072
_cell_angle_alpha 34.00
_cell_angle_beta 34.00
_cell_angle_gamma 34.00
loop_
_symmetry_equiv_pos_as_xyz
'x,y,z'
loop_
_atom_site_label
_atom_site_type_symbol
_atom_site_fract_x
_atom_site_fract_y
_atom_site_fract_z
Pm1 Pm 0.0000 0.0000 0.0000
Sm1 Sm 0.5000 0.5000 0.5000
Ge1 Ge 0.2495 0.2495 0.2495
Ge2 Ge 0.7505 0.7505 0.7505
```

Summary:
Total moment (μB per cell): 0.0
Calculated formation energy (eV per atom): -0.6636
DOS(E_F) (states/eV per cell): 4.23

---

Record 6
# Pm5Sm5Ge6

Crystalline Pm5Sm5Ge6 at its relaxed geometry (PBE, the Alexandria database).

The structure in CIF format:
```
data_Pm5Sm5Ge6
_chemical_formula_sum 'Pm5 Sm5 Ge6'
_symmetry_space_group_name_H-M 'P 1'
_symmetry_Int_Tables_number 1
_cell_length_a 6.6312
_cell_length_b 8.7501
_cell_length_c 8.7501
_cell_angle_alpha 119.96
_cell_angle_beta 90.00
_cell_angle_gamma 90.00
loop_
_symmetry_equiv_pos_as_xyz
'x,y,z'
loop_
_atom_site_label
_atom_site_type_symbol
_atom_site_fract_x
_atom_site_fract_y
_atom_site_fract_z
Pm1 Pm 0.0000 0.0000 0.0000
Pm2 Pm 0.0000 0.2452 0.4894
Pm3 Pm 0.0000 0.4894 0.2452
Pm4 Pm 0.5000 0.0004 0.2448
Pm5 Pm 0.5000 0.2448 0.0004
Sm1 Sm 0.2500 0.5783 0.9116
Sm2 Sm 0.2500 0.9116 0.5783
Sm3 Sm 0.5000 0.4902 0.4902
Sm4 Sm 0.7500 0.5783 0.9116
Sm5 Sm 0.7500 0.9116 0.5783
Ge1 Ge 0.0000 0.2451 0.8514
Ge2 Ge 0.0000 0.6386 0.6386
Ge3 Ge 0.0000 0.8514 0.2451
Ge4 Ge 0.5000 0.2456 0.6381
Ge5 Ge 0.5000 0.6381 0.2456
Ge6 Ge 0.5000 0.8509 0.8509
```

Summary:
Total moment (μB per cell): 0.0
Calculated formation energy (eV per atom): -0.7377
DOS(E_F) (states/eV per cell): 14.28

---

Record 7
# PmSm2Ge

Crystalline PmSm2Ge at its relaxed geometry (PBE, the Alexandria database).

The structure in CIF format:
```
data_PmSm2Ge
_chemical_formula_sum 'Pm2 Sm4 Ge2'
_symmetry_space_group_name_H-M 'P 1'
_symmetry_Int_Tables_number 1
_cell_length_a 6.9469
_cell_length_b 6.9469
_cell_length_c 6.7984
_cell_angle_alpha 90.00
_cell_angle_beta 90.00
_cell_angle_gamma 134.98
loop_
_symmetry_equiv_pos_as_xyz
'x,y,z'
loop_
_atom_site_label
_atom_site_type_symbol
_atom_site_fract_x
_atom_site_fract_y
_atom_site_fract_z
Pm1 Pm 0.0577 0.9423 0.7500
Pm2 Pm 0.9423 0.0577 0.2500
Sm1 Sm 0.3603 0.6397 0.5199
Sm2 Sm 0.3603 0.6397 0.9801
Sm3 Sm 0.6397 0.3603 0.0199
Sm4 Sm 0.6397 0.3603 0.4801
Ge1 Ge 0.1725 0.8275 0.2500
Ge2 Ge 0.8275 0.1725 0.7500
```

Summary:
Total moment (μB per cell): 0.0
Calculated formation energy (eV per atom): -0.3420
DOS(E_F) (states/eV per cell): 8.30

---

Record 8
# Pm2Sm2Ge3

Crystalline Pm2Sm2Ge3 at its relaxed geometry (PBE, the Alexandria database).

The structure in CIF format:
```
data_Pm2Sm2Ge3
_chemical_formula_sum 'Pm2 Sm2 Ge3'
_symmetry_space_group_name_H-M 'P 1'
_symmetry_Int_Tables_number 1
_cell_length_a 7.2638
_cell_length_b 7.2638
_cell_length_c 7.6288
_cell_angle_alpha 101.36
_cell_angle_beta 101.36
_cell_angle_gamma 33.79
loop_
_symmetry_equiv_pos_as_xyz
'x,y,z'
loop_
_atom_site_label
_atom_site_type_symbol
_atom_site_fract_x
_atom_site_fract_y
_atom_site_fract_z
Pm1 Pm 0.1364 0.1364 0.3577
Pm2 Pm 0.8636 0.8636 0.6423
Sm1 Sm 0.3710 0.3710 0.1066
Sm2 Sm 0.6290 0.6290 0.8934
Ge1 Ge 0.0000 0.0000 0.0000
Ge2 Ge 0.2367 0.2367 0.7395
Ge3 Ge 0.7633 0.7633 0.2605
```

Summary:
Total moment (μB per cell): 0.2
Calculated formation energy (eV per atom): -0.6045
DOS(E_F) (states/eV per cell): 3.55

---

Record 9
# Pm7SmGe4

Crystalline Pm7SmGe4 at its relaxed geometry (PBE, the Alexandria database).

The structure in CIF format:
```
data_Pm7SmGe4
_chemical_formula_sum 'Pm7 Sm1 Ge4'
_symmetry_space_group_name_H-M 'P 1'
_symmetry_Int_Tables_number 1
_cell_length_a 7.4154
_cell_length_b 7.4154
_cell_length_c 10.5893
_cell_angle_alpha 122.28
_cell_angle_beta 122.28
_cell_angle_gamma 44.98
loop_
_symmetry_equiv_pos_as_xyz
'x,y,z'
loop_
_atom_site_label
_atom_site_type_symbol
_atom_site_fract_x
_atom_site_fract_y
_atom_site_fract_z
Pm1 Pm 0.0000 0.0000 0.0000
Pm2 Pm 0.1863 0.1863 0.6171
Pm3 Pm 0.2891 0.2891 0.1132
Pm4 Pm 0.4385 0.4385 0.6246
Pm5 Pm 0.5615 0.5615 0.3754
Pm6 Pm 0.7109 0.7109 0.8868
Pm7 Pm 0.8137 0.8137 0.3829
Sm1 Sm 0.5000 0.5000 0.0000
Ge1 Ge 0.0613 0.0613 0.7616
Ge2 Ge 0.1970 0.1970 0.3293
Ge3 Ge 0.8030 0.8030 0.6707
Ge4 Ge 0.9387 0.9387 0.2384
```

Summary:
Total moment (μB per cell): 0.0
Calculated formation energy (eV per atom): -0.3066
DOS(E_F) (states/eV per cell): 9.75

---

Record 10
# PmSmGe

Crystalline PmSmGe at its relaxed geometry (PBE, the Alexandria database).

The structure in CIF format:
```
data_PmSmGe
_chemical_formula_sum 'Pm1 Sm1 Ge1'
_symmetry_space_group_name_H-M 'P 1'
_symmetry_Int_Tables_number 1
_cell_length_a 5.0132
_cell_length_b 5.0132
_cell_length_c 5.0132
_cell_angle_alpha 60.00
_cell_angle_beta 60.00
_cell_angle_gamma 60.00
loop_
_symmetry_equiv_pos_as_xyz
'x,y,z'
loop_
_atom_site_label
_atom_site_type_symbol
_atom_site_fract_x
_atom_site_fract_y
_atom_site_fract_z
Pm1 Pm 0.0000 0.0000 0.0000
Sm1 Sm 0.5000 0.5000 0.5000
Ge1 Ge 0.7500 0.7500 0.7500
```

Summary:
Total moment (μB per cell): 0.0
Calculated formation energy (eV per atom): -0.5403
DOS(E_F) (states/eV per cell): 2.78